# LaTl2Pd (PBE-GGA, optimized geometry)
data_LaTl2Pd
_symmetry_space_group_name_H-M 'P 1'
_symmetry_Int_Tables_number 1
_symmetry_space_group_name_Hall 'P 1'
_cell_length_a 9.207
_cell_length_b 9.207
_cell_length_c 9.207
_cell_angle_alpha 148.87
_cell_angle_beta 148.87
_cell_angle_gamma 44.60
loop_
_atom_site_label
_atom_site_type_symbol
_atom_site_fract_x
_atom_site_fract_y
_atom_site_fract_z
_atom_site_occupancy
La1 La 0.143 0.143 0.000 1
La2 La 0.857 0.857 0.000 1
Tl1 Tl 0.000 0.500 0.500 1
Tl2 Tl 0.350 0.350 0.000 1
Tl3 Tl 0.500 0.000 0.500 1
Tl4 Tl 0.650 0.650 0.000 1
Pd1 Pd 0.250 0.750 0.500 1
Pd2 Pd 0.750 0.250 0.500 1
# ΔE_f (eV/atom): -0.47
# Space-group type: I4/mmm (139)
# Raw total energy (eV per cell): -33.50
# M_tot (μB/f.u.): 0.00

***

# BSO (PBE-GGA, optimized geometry)
data_BSO
_symmetry_space_group_name_H-M 'P 1'
_symmetry_Int_Tables_number 1
_symmetry_space_group_name_Hall 'P 1'
_cell_length_a 4.818
_cell_length_b 5.118
_cell_length_c 5.782
_cell_angle_alpha 67.60
_cell_angle_beta 66.20
_cell_angle_gamma 63.30
loop_
_atom_site_label
_atom_site_type_symbol
_atom_site_fract_x
_atom_site_fract_y
_atom_site_fract_z
_atom_site_occupancy
B1 B 0.000 0.000 0.000 1
B2 B 0.476 0.019 0.014 1
S1 S 0.044 0.286 0.691 1
S2 S 0.426 0.344 0.733 1
O1 O 0.239 0.890 0.123 1
O2 O 0.739 0.905 0.109 1
# Space-group type: P1 (1)
# Raw total energy (eV per cell): -39.93
# Formation energy without anion corrections (eV/f.u.): -4.2
# M_tot (μB/f.u.): 0.00

***

# Cu3C (PBE-GGA, optimized geometry)
data_Cu3C
_symmetry_space_group_name_H-M 'P 1'
_symmetry_Int_Tables_number 1
_symmetry_space_group_name_Hall 'P 1'
_cell_length_a 2.733
_cell_length_b 2.733
_cell_length_c 6.672
_cell_angle_alpha 90.00
_cell_angle_beta 90.00
_cell_angle_gamma 120.00
loop_
_atom_site_label
_atom_site_type_symbol
_atom_site_fract_x
_atom_site_fract_y
_atom_site_fract_z
_atom_site_occupancy
Cu1 Cu 0.000 0.000 0.000 1
Cu2 Cu 0.667 0.333 0.308 1
Cu3 Cu 0.667 0.333 0.692 1
C1 C 0.000 0.000 0.500 1
# ΔE_f (eV/atom): 0.78
# Space-group type: P-6m2 (187)
# Raw total energy (eV per cell): -18.40
# M_tot (μB/f.u.): 0.00

***

# LiC (PBE-GGA, optimized geometry)
data_LiC
_symmetry_space_group_name_H-M 'P 1'
_symmetry_Int_Tables_number 1
_symmetry_space_group_name_Hall 'P 1'
_cell_length_a 3.465
_cell_length_b 3.465
_cell_length_c 1.653
_cell_angle_alpha 90.00
_cell_angle_beta 90.00
_cell_angle_gamma 120.00
loop_
_atom_site_label
_atom_site_type_symbol
_atom_site_fract_x
_atom_site_fract_y
_atom_site_fract_z
_atom_site_occupancy
Li1 Li 0.000 0.000 0.000 1
C1 C 0.333 0.667 0.500 1
# ΔE_f (eV/atom): 1.34
# Space-group type: P-6m2 (187)
# Raw total energy (eV per cell): -8.46
# M_tot (μB/f.u.): 0.00

***

# Nb3BPt (PBE-GGA, optimized geometry)
data_Nb3BPt
_symmetry_space_group_name_H-M 'P 1'
_symmetry_Int_Tables_number 1
_symmetry_space_group_name_Hall 'P 1'
_cell_length_a 4.328
_cell_length_b 4.328
_cell_length_c 4.328
_cell_angle_alpha 90.00
_cell_angle_beta 90.00
_cell_angle_gamma 90.00
loop_
_atom_site_label
_atom_site_type_symbol
_atom_site_fract_x
_atom_site_fract_y
_atom_site_fract_z
_atom_site_occupancy
Nb1 Nb 0.000 0.000 0.500 1
Nb2 Nb 0.000 0.500 0.000 1
Nb3 Nb 0.500 0.000 0.000 1
B1 B 0.000 0.000 0.000 1
Pt1 Pt 0.500 0.500 0.500 1
# ΔE_f (eV/atom): -0.21
# Space-group type: Pm-3m (221)
# Raw total energy (eV per cell): -43.97
# M_tot (μB/f.u.): 0.00

***

# Li3La (PBE-GGA, optimized geometry)
data_Li3La
_symmetry_space_group_name_H-M 'P 1'
_symmetry_Int_Tables_number 1
_symmetry_space_group_name_Hall 'P 1'
_cell_length_a 6.290
_cell_length_b 6.290
_cell_length_c 6.290
_cell_angle_alpha 117.31
_cell_angle_beta 117.31
_cell_angle_gamma 117.31
loop_
_atom_site_label
_atom_site_type_symbol
_atom_site_fract_x
_atom_site_fract_y
_atom_site_fract_z
_atom_site_occupancy
Li1 Li 0.000 0.500 0.500 1
Li2 Li 0.500 0.000 0.500 1
Li3 Li 0.500 0.500 0.000 1
La1 La 0.000 0.000 0.000 1
# ΔE_f (eV/atom): 0.19
# Space-group type: R-3m (166)
# Raw total energy (eV per cell): -9.92
# M_tot (μB/f.u.): 0.00